Ba2SrCaRh: relaxed, PBE.

Properties
space-group type: No. 123
energy of formation: -0.132 eV per atom
energy relative to the lowest polymorph listed for this composition: 0.00 kJ/mol of atoms
magnetization: 0.00 μB per formula unit
crystal system: tetragonal
final energy: -3.109 eV/atom
volume: 44.021 A^3/atom
D(E_F): 3.922 states/eV/cell

Geometry as POSCAR:
```
Ba2SrCaRh
1.0
6.170 0.000 0.000
0.000 6.170 0.000
0.000 0.000 5.782
Rh Ca Ba Sr
1 1 2 1
Cartesian
0.000 0.000 0.000
0.000 0.000 2.891
0.000 3.085 0.000
3.085 0.000 0.000
3.085 3.085 2.891
```